Entry 1:
This record from Alexandria describes a geometry-optimized Ac4Ge3Pd12Pt structure. The functional is PBE.

```
Ac4Ge3Pd12Pt
1.0
-4.842 4.842 4.842
4.842 -4.842 4.842
4.842 4.842 -4.842
Ac Ge Pd Pt
4 3 12 1
direct
0.000 0.000 0.500
0.000 0.500 0.000
0.500 0.000 0.000
0.500 0.500 0.500
0.000 0.500 0.500
0.500 0.000 0.500
0.500 0.500 0.000
0.000 0.262 0.262
0.000 0.738 0.738
0.250 0.500 0.750
0.250 0.750 0.500
0.262 0.000 0.262
0.262 0.262 0.000
0.500 0.250 0.750
0.500 0.750 0.250
0.738 0.000 0.738
0.738 0.738 0.000
0.750 0.250 0.500
0.750 0.500 0.250
0.000 0.000 0.000
```

Computed properties:
energy relative to the elements: -0.4814 eV per atom
D(E_F): 14.02 states/eV per cell

***

Entry 2:
This record from Alexandria describes a geometry-optimized BaH2O structure. The functional is PBE.

```
BaH2O
1.0
4.360 0.000 0.000
0.000 5.740 0.000
0.000 0.000 5.442
Ba H O
2 4 2
direct
0.000 0.212 0.000
0.500 0.788 0.500
0.000 0.243 0.511
0.000 0.506 0.581
0.500 0.494 0.081
0.500 0.757 0.011
0.000 0.069 0.496
0.500 0.931 0.996
```

Computed properties:
polymorph energy (0 for the lowest one): 17.3 meV/atom
D(E_F): 0.00 states/eV per cell

***

Entry 3:
This record from Alexandria describes a geometry-optimized YLuSe structure. The functional is PBE.

```
YLuSe
1.0
3.566 0.000 0.000
0.000 3.566 0.000
0.000 0.000 12.054
Y Lu Se
2 2 2
direct
0.000 0.000 0.000
0.500 0.500 0.500
0.000 0.000 0.295
0.500 0.500 0.795
0.000 0.000 0.651
0.500 0.500 0.151
```

Computed properties:
polymorph energy (0 for the lowest one): 146.4 meV/atom
D(E_F): 6.16 states/eV per cell
uncorrected formation energy: -0.95 eV per atom

***

Entry 4:
This record from Alexandria describes a geometry-optimized Sc2US4 structure. The functional is PBE.

```
Sc2US4
1.0
1.848 -6.124 0.000
1.848 6.124 0.000
0.000 0.000 12.542
Sc U S
4 2 8
direct
0.132 0.868 0.563
0.132 0.868 0.937
0.868 0.132 0.063
0.868 0.132 0.437
0.382 0.618 0.750
0.618 0.382 0.250
0.049 0.951 0.750
0.230 0.770 0.120
0.230 0.770 0.380
0.500 0.500 0.000
0.500 0.500 0.500
0.770 0.230 0.620
0.770 0.230 0.880
0.951 0.049 0.250
```

Computed properties:
D(E_F): 15.98 states/eV per cell
uncorrected formation energy: -1.72 eV per atom

***

Entry 5:
This record from Alexandria describes a geometry-optimized SbH3Pd6 structure. The functional is PBE.

```
SbH3Pd6
1.0
3.790 2.188 5.586
-3.790 2.188 5.586
0.000 -4.376 5.586
Sb H Pd
2 6 12
direct
0.000 0.000 0.000
0.500 0.500 0.500
0.056 0.316 0.488
0.316 0.488 0.056
0.488 0.056 0.316
0.512 0.944 0.684
0.684 0.512 0.944
0.944 0.684 0.512
0.093 0.876 0.366
0.116 0.431 0.640
0.124 0.634 0.907
0.360 0.884 0.569
0.366 0.093 0.876
0.431 0.640 0.116
0.569 0.360 0.884
0.634 0.907 0.124
0.640 0.116 0.431
0.876 0.366 0.093
0.884 0.569 0.360
0.907 0.124 0.634
```

Computed properties:
polymorph energy (0 for the lowest one): 110.7 meV/atom
D(E_F): 8.25 states/eV per cell

***

Entry 6:
This record from Alexandria describes a geometry-optimized HfInW2Au structure. The functional is PBE.

```
HfInW2Au
1.0
5.006 0.000 0.000
0.000 5.006 0.000
0.000 0.000 5.496
Hf In W Au
1 1 2 1
direct
0.000 0.000 0.000
0.000 0.000 0.500
0.000 0.500 0.000
0.500 0.000 0.000
0.500 0.500 0.500
```

Computed properties:
polymorph energy (0 for the lowest one): 272.1 meV/atom
energy relative to the elements: 2.1430 eV per atom
D(E_F): 5.49 states/eV per cell